{
  "formula": "Re2TcCl",
  "functional": "GGA-PBE",
  "state": "relaxed",
  "cell": [[-3.783, -2.672, -1.706], [4.309, -2.297, 0.717], [-0.773, -0.615, 2.677]],
  "species": ["Tc", "Cl", "Re", "Re"],
  "fractional_positions": [[0.500, 0.000, 0.500], [0.000, 0.500, 0.500], [0.500, 0.500, 0.000], [0.000, 0.000, 0.000]],
  "final_energy_ev_per_cell": -32.46,
  "raw_formation_energy_ev_per_atom": 1.162,
  "magnetic_moment_mub_per_fu": 0.0
}

---

{
  "formula": "AcLaPr2Sm6",
  "functional": "GGA-PBE",
  "state": "relaxed",
  "cell": [[9.427, -2.089, -2.167], [0.936, 8.871, -2.205], [0.936, -2.533, 8.783]],
  "species": ["Ac", "Sm", "Sm", "Sm", "Sm", "Sm", "Sm", "Sm", "Ac", "La", "Pr", "La", "Sm", "Pr", "Pr", "Pr", "Sm", "Sm", "Sm", "Sm"],
  "fractional_positions": [[0.750, 0.026, 0.974], [0.618, 0.498, 0.709], [0.818, 0.436, 0.972], [0.057, 0.126, 0.745], [0.682, 0.028, 0.564], [0.557, 0.745, 0.126], [0.318, 0.972, 0.436], [0.382, 0.502, 0.291], [0.250, 0.974, 0.026], [0.250, 0.408, 0.592], [0.544, 0.189, 0.308], [0.750, 0.592, 0.408], [0.443, 0.255, 0.874], [0.456, 0.811, 0.692], [0.956, 0.692, 0.811], [0.044, 0.308, 0.189], [0.943, 0.874, 0.255], [0.882, 0.291, 0.502], [0.182, 0.564, 0.028], [0.118, 0.709, 0.498]],
  "final_energy_ev_per_cell": -91.38,
  "e_form_ev_per_atom": 0.12,
  "magnetic_moment_mub_per_fu": 0.0
}

---

{
  "formula": "Ca2TbIn3",
  "functional": "GGA-PBE",
  "state": "relaxed",
  "cell": [[3.830, 0.000, 0.000], [0.000, 3.830, 0.000], [0.000, 0.000, 11.433]],
  "species": ["Ca", "In", "Tb", "In", "Ca", "In"],
  "fractional_positions": [[0.500, 0.500, 0.166], [0.000, 0.000, 0.000], [0.500, 0.500, 0.500], [0.000, 0.000, 0.661], [0.500, 0.500, 0.834], [0.000, 0.000, 0.339]],
  "final_energy_ev_per_cell": -19.67,
  "e_form_ev_per_atom": -0.47,
  "magnetic_moment_mub_per_fu": 0.0
}

---

{
  "formula": "BeAgOs2",
  "functional": "GGA-PBE",
  "state": "relaxed",
  "cell": [[4.939, 0.001, 0.000], [2.189, 4.427, 0.000], [-3.564, -2.214, 2.606]],
  "species": ["Be", "Os", "Ag", "Os"],
  "fractional_positions": [[0.750, 0.250, 0.500], [0.000, 0.000, 0.000], [0.250, 0.750, 0.500], [0.500, 0.500, 0.000]],
  "final_energy_ev_per_cell": -26.02,
  "e_form_ev_per_atom": 0.75,
  "magnetic_moment_mub_per_fu": 0.0
}

---

{
  "formula": "Ac8IrOs3I3",
  "functional": "GGA-PBE",
  "state": "relaxed",
  "cell": [[-2.077, 0.716, 8.488], [1.147, -7.929, -3.579], [8.347, 5.361, 1.590]],
  "species": ["Ac", "I", "Ac", "I", "Ac", "Ac", "I", "Ac", "Os", "Os", "Os", "Ac", "Ir", "Ac", "Ac"],
  "fractional_positions": [[0.773, 0.049, 0.322], [0.500, 0.500, 0.000], [0.273, 0.545, 0.318], [0.000, 0.000, 0.000], [0.227, 0.951, 0.678], [0.773, 0.545, 0.321], [0.000, 0.500, 0.000], [0.276, 0.049, 0.322], [0.000, 0.500, 0.500], [0.500, 0.000, 0.500], [0.500, 0.500, 0.500], [0.227, 0.455, 0.679], [0.000, 0.000, 0.500], [0.727, 0.455, 0.682], [0.724, 0.951, 0.678]],
  "final_energy_ev_per_cell": -88.46,
  "raw_formation_energy_ev_per_atom": -0.559,
  "magnetic_moment_mub_per_fu": 0.0
}

---

{
  "formula": "K2RbVB",
  "functional": "GGA-PBE",
  "state": "relaxed",
  "cell": [[6.730, 0.000, 0.000], [0.000, 4.288, 0.000], [0.000, 0.000, 6.730]],
  "species": ["V", "B", "K", "K", "Rb"],
  "fractional_positions": [[0.000, 0.000, 0.000], [0.000, 0.500, 0.000], [0.500, 0.000, 0.000], [0.000, 0.000, 0.500], [0.500, 0.500, 0.500]],
  "final_energy_ev_per_cell": -13.89,
  "e_form_ev_per_atom": 1.01,
  "magnetic_moment_mub_per_fu": 3.1
}

---

{
  "formula": "YPIr2",
  "functional": "GGA-PBE",
  "state": "relaxed",
  "cell": [[-0.892, -5.260, 0.343], [-4.769, -1.693, -1.724], [4.595, 2.427, -1.257]],
  "species": ["Y", "Ir", "P", "Ir"],
  "fractional_positions": [[0.000, 0.500, 0.500], [0.713, 0.713, 0.000], [0.500, 0.000, 0.500], [0.287, 0.287, 0.000]],
  "final_energy_ev_per_cell": -31.29,
  "e_form_ev_per_atom": -0.42,
  "magnetic_moment_mub_per_fu": 0.0
}

---

{
  "formula": "Ac3PmHo3Se8",
  "functional": "GGA-PBE",
  "state": "relaxed",
  "cell": [[8.369, 0.000, 0.000], [-4.184, 7.247, -0.027], [0.000, -4.806, 7.140]],
  "species": ["Se", "Se", "Se", "Ho", "Se", "Ho", "Pm", "Se", "Se", "Ac", "Se", "Ho", "Ac", "Se", "Ac"],
  "fractional_positions": [[0.730, 0.980, 0.730], [0.270, 0.020, 0.270], [0.750, 0.499, 0.270], [0.500, 0.500, 0.500], [0.250, 0.501, 0.730], [0.500, 0.000, 0.500], [0.000, 0.000, 0.500], [0.750, 0.020, 0.270], [0.250, 0.980, 0.730], [0.000, 0.000, 0.000], [0.740, 0.480, 0.720], [0.000, 0.500, 0.500], [0.000, 0.500, 0.000], [0.260, 0.520, 0.280], [0.500, 0.500, 0.000]],
  "final_energy_ev_per_cell": -86.45,
  "raw_formation_energy_ev_per_atom": -1.851,
  "magnetic_moment_mub_per_fu": 0.0
}

---

{
  "formula": "Re2Os3",
  "functional": "GGA-PBE",
  "state": "relaxed",
  "cell": [[11.253, -1.371, 0.001], [11.253, 1.371, 0.001], [11.086, 0.000, 2.369]],
  "species": ["Os", "Os", "Re", "Re", "Os"],
  "fractional_positions": [[0.799, 0.799, 0.799], [0.000, 0.000, 0.000], [0.599, 0.599, 0.599], [0.401, 0.401, 0.401], [0.201, 0.201, 0.201]],
  "final_energy_ev_per_cell": -58.26,
  "e_form_ev_per_atom": 0.07,
  "magnetic_moment_mub_per_fu": 0.0
}

---

{
  "formula": "PaTcAu",
  "functional": "GGA-PBE",
  "state": "relaxed",
  "cell": [[-2.385, 1.625, -2.078], [-2.364, -2.560, 0.712], [0.781, 2.999, 4.492]],
  "species": ["Tc", "Au", "Pa"],
  "fractional_positions": [[0.642, 0.642, 0.284], [0.951, 0.951, 0.903], [0.257, 0.257, 0.513]],
  "final_energy_ev_per_cell": -23.48,
  "e_form_ev_per_atom": -0.11,
  "magnetic_moment_mub_per_fu": 0.0
}

---

{
  "formula": "MgCr2Tc",
  "functional": "GGA-PBE",
  "state": "relaxed",
  "cell": [[-1.919, -1.526, -1.796], [2.196, -0.315, -2.078], [1.789, -5.443, 2.714]],
  "species": ["Tc", "Cr", "Mg", "Cr"],
  "fractional_positions": [[0.500, 0.500, 0.750], [0.000, 0.000, 0.530], [0.500, 0.500, 0.250], [0.000, 0.000, 0.970]],
  "final_energy_ev_per_cell": -30.07,
  "e_form_ev_per_atom": 0.28,
  "magnetic_moment_mub_per_fu": 2.9
}

---

{
  "formula": "Sr2LaBr",
  "functional": "GGA-PBE",
  "state": "relaxed",
  "cell": [[-3.631, 0.215, 6.250], [1.745, -4.483, 5.399], [3.268, 4.565, -4.557]],
  "species": ["Sr", "Sr", "La", "Br"],
  "fractional_positions": [[0.000, 0.000, 0.000], [0.500, 0.500, 0.000], [0.750, 0.250, 0.500], [0.250, 0.750, 0.500]],
  "final_energy_ev_per_cell": -10.61,
  "raw_formation_energy_ev_per_atom": -0.160,
  "magnetic_moment_mub_per_fu": 0.5
}

---

{
  "formula": "TlGa2I4",
  "functional": "GGA-PBE",
  "state": "relaxed",
  "cell": [[6.542, 0.000, 0.000], [0.000, 6.542, 0.000], [-3.271, -3.271, 7.223]],
  "species": ["I", "I", "I", "Tl", "I", "Ga", "Ga"],
  "fractional_positions": [[0.500, 0.000, 0.000], [0.000, 0.500, 0.000], [0.223, 0.223, 0.446], [0.000, 0.000, 0.000], [0.777, 0.777, 0.554], [0.408, 0.408, 0.815], [0.592, 0.592, 0.185]],
  "final_energy_ev_per_cell": -16.61,
  "raw_formation_energy_ev_per_atom": -0.284,
  "magnetic_moment_mub_per_fu": 0.0
}

---

{
  "formula": "Al5VCo6",
  "functional": "GGA-PBE",
  "state": "relaxed",
  "cell": [[-3.916, -0.653, 0.854], [1.170, 0.260, 5.562], [-2.974, 5.674, 0.360]],
  "species": ["Al", "Co", "Co", "V", "Co", "Co", "Al", "Co", "Al", "Al", "Co", "Al"],
  "fractional_positions": [[0.332, 0.000, 0.335], [0.164, 0.751, 0.671], [0.836, 0.751, 0.329], [0.000, 0.000, 0.000], [0.500, 0.245, 0.000], [0.836, 0.249, 0.329], [0.333, 0.500, 0.333], [0.164, 0.249, 0.671], [0.667, 0.500, 0.667], [0.000, 0.500, 0.000], [0.500, 0.755, 0.000], [0.668, 0.000, 0.665]],
  "final_energy_ev_per_cell": -76.93,
  "e_form_ev_per_atom": -0.54,
  "magnetic_moment_mub_per_fu": 2.3
}

---

{
  "formula": "Li6TmPb4",
  "functional": "GGA-PBE",
  "state": "relaxed",
  "cell": [[3.243, 0.000, 0.000], [0.000, 9.517, 0.000], [0.000, -4.759, 8.242]],
  "species": ["Li", "Pb", "Pb", "Tm", "Pb", "Li", "Li", "Li", "Li", "Pb", "Li"],
  "fractional_positions": [[0.500, 0.185, 0.815], [0.500, 0.344, 0.172], [0.500, 0.828, 0.172], [0.000, 0.000, 0.000], [0.500, 0.828, 0.656], [0.000, 0.960, 0.480], [0.000, 0.520, 0.480], [0.000, 0.520, 0.040], [0.500, 0.630, 0.815], [0.000, 0.333, 0.667], [0.500, 0.185, 0.370]],
  "final_energy_ev_per_cell": -33.63,
  "e_form_ev_per_atom": -0.26,
  "magnetic_moment_mub_per_fu": 0.0
}

---

{
  "formula": "ZnPt2Cl",
  "functional": "GGA-PBE",
  "state": "relaxed",
  "cell": [[-1.825, -2.781, -4.203], [-1.590, -5.092, 0.531], [-0.743, 4.756, 2.358]],
  "species": ["Pt", "Cl", "Pt", "Zn"],
  "fractional_positions": [[0.250, 0.750, 0.500], [0.750, 0.250, 0.500], [0.000, 0.000, 0.000], [0.500, 0.500, 0.000]],
  "final_energy_ev_per_cell": -14.03,
  "raw_formation_energy_ev_per_atom": 0.293,
  "magnetic_moment_mub_per_fu": 0.0
}

---

{
  "formula": "CaPu3Tl2O12",
  "functional": "GGA-PBE",
  "state": "relaxed",
  "cell": [[-6.842, -0.367, -3.673], [-5.915, -3.413, 3.714], [-5.743, 4.551, 2.597]],
  "species": ["O", "O", "Pu", "Pu", "O", "O", "O", "O", "Tl", "O", "O", "Ca", "Tl", "O", "O", "Pu", "O", "O"],
  "fractional_positions": [[0.925, 0.925, 0.352], [0.352, 0.925, 0.925], [0.000, 0.500, 0.000], [0.000, 0.000, 0.500], [0.695, 0.061, 0.695], [0.305, 0.305, 0.939], [0.925, 0.352, 0.925], [0.075, 0.075, 0.648], [0.330, 0.330, 0.330], [0.648, 0.075, 0.075], [0.695, 0.695, 0.061], [0.000, 0.000, 0.000], [0.670, 0.670, 0.670], [0.061, 0.695, 0.695], [0.305, 0.939, 0.305], [0.500, 0.000, 0.000], [0.075, 0.648, 0.075], [0.939, 0.305, 0.305]],
  "final_energy_ev_per_cell": -148.99,
  "raw_formation_energy_ev_per_atom": -2.209,
  "magnetic_moment_mub_per_fu": 4.0
}

---

{
  "formula": "Ba7Ag2Rh2",
  "functional": "GGA-PBE",
  "state": "relaxed",
  "cell": [[-7.747, -0.282, 0.933], [-0.790, -2.582, -7.360], [3.248, -6.802, 2.035]],
  "species": ["Ba", "Rh", "Rh", "Ag", "Ba", "Ba", "Ba", "Ba", "Ag", "Ba", "Ba"],
  "fractional_positions": [[0.500, 0.757, 0.500], [0.301, 0.000, 0.699], [0.699, 0.000, 0.301], [0.162, 0.500, 0.162], [0.000, 0.000, 0.000], [0.000, 0.257, 0.500], [0.000, 0.743, 0.500], [0.500, 0.257, 0.000], [0.838, 0.500, 0.838], [0.500, 0.243, 0.500], [0.500, 0.743, 0.000]],
  "final_energy_ev_per_cell": -35.31,
  "e_form_ev_per_atom": -0.13,
  "magnetic_moment_mub_per_fu": 0.0
}

---

{
  "formula": "TmO3",
  "functional": "GGA-PBE",
  "state": "relaxed",
  "cell": [[-0.971, 2.822, -2.513], [-3.148, 2.206, 0.666], [0.421, 3.744, 1.013]],
  "species": ["O", "Tm", "O", "O"],
  "fractional_positions": [[0.250, 0.250, 0.250], [0.000, 0.000, 0.000], [0.500, 0.500, 0.500], [0.750, 0.750, 0.750]],
  "final_energy_ev_per_cell": -25.24,
  "raw_formation_energy_ev_per_atom": -1.473,
  "magnetic_moment_mub_per_fu": 3.0
}

---

{
  "formula": "B2C",
  "functional": "GGA-PBE",
  "state": "relaxed",
  "cell": [[-0.132, -2.133, -2.662], [2.231, -1.067, 0.744], [-2.244, -2.420, 3.261]],
  "species": ["B", "C", "C", "B", "B", "B"],
  "fractional_positions": [[0.327, 0.500, 0.311], [0.535, 0.000, 0.169], [0.465, 0.000, 0.831], [0.820, 0.500, 0.324], [0.673, 0.500, 0.689], [0.180, 0.500, 0.676]],
  "final_energy_ev_per_cell": -43.24,
  "e_form_ev_per_atom": 0.32,
  "magnetic_moment_mub_per_fu": 0.0
}

---

{
  "formula": "Tb5HoErTh2",
  "functional": "GGA-PBE",
  "state": "relaxed",
  "cell": [[-6.347, -0.258, -5.953], [-3.688, -6.661, 4.220], [0.804, 8.499, 5.140]],
  "species": ["Er", "Tb", "Tb", "Tb", "Tb", "Th", "Er", "Ho", "Tb", "Th", "Tb", "Ho", "Tb", "Th", "Tb", "Th", "Tb", "Tb"],
  "fractional_positions": [[0.750, 0.250, 0.500], [0.648, 0.148, 0.719], [0.500, 0.500, 0.000], [0.571, 0.648, 0.719], [0.852, 0.929, 0.281], [0.620, 0.120, 0.000], [0.250, 0.750, 0.500], [0.250, 0.250, 0.500], [0.929, 0.429, 0.281], [0.380, 0.880, 0.000], [0.429, 0.352, 0.281], [0.750, 0.750, 0.500], [0.071, 0.571, 0.719], [0.880, 0.620, 0.000], [0.148, 0.071, 0.719], [0.120, 0.380, 0.000], [0.000, 0.000, 0.000], [0.352, 0.852, 0.281]],
  "final_energy_ev_per_cell": -88.06,
  "e_form_ev_per_atom": 0.34,
  "magnetic_moment_mub_per_fu": 0.0
}

---

{
  "formula": "Rb2USn3O12",
  "functional": "GGA-PBE",
  "state": "relaxed",
  "cell": [[-1.148, 3.666, -6.784], [-6.393, -1.125, -4.319], [-5.449, 5.504, -0.896]],
  "species": ["Sn", "O", "Rb", "O", "O", "O", "O", "O", "O", "O", "Rb", "O", "O", "Sn", "U", "Sn", "O", "O"],
  "fractional_positions": [[0.000, 0.000, 0.500], [0.066, 0.684, 0.066], [0.384, 0.384, 0.384], [0.672, 0.672, 0.078], [0.934, 0.316, 0.934], [0.316, 0.934, 0.934], [0.078, 0.672, 0.672], [0.672, 0.078, 0.672], [0.328, 0.328, 0.922], [0.684, 0.066, 0.066], [0.616, 0.616, 0.616], [0.328, 0.922, 0.328], [0.066, 0.066, 0.684], [0.000, 0.500, 0.000], [0.000, 0.000, 0.000], [0.500, 0.000, 0.000], [0.934, 0.934, 0.316], [0.922, 0.328, 0.328]],
  "final_energy_ev_per_cell": -113.25,
  "raw_formation_energy_ev_per_atom": -1.585,
  "magnetic_moment_mub_per_fu": 3.9
}

---

{
  "formula": "BaMgAl2Zn4",
  "functional": "GGA-PBE",
  "state": "relaxed",
  "cell": [[4.442, 0.000, 0.000], [2.221, 3.847, 0.000], [2.221, 1.282, 10.010]],
  "species": ["Mg", "Zn", "Zn", "Ba", "Zn", "Al", "Al", "Zn"],
  "fractional_positions": [[0.500, 0.500, 0.500], [0.592, 0.592, 0.223], [0.408, 0.408, 0.777], [0.000, 0.000, 0.000], [0.875, 0.875, 0.375], [0.767, 0.767, 0.700], [0.233, 0.233, 0.300], [0.125, 0.125, 0.625]],
  "final_energy_ev_per_cell": -17.03,
  "e_form_ev_per_atom": -0.12,
  "magnetic_moment_mub_per_fu": 0.0
}

---

{
  "formula": "Sr2TlPd2",
  "functional": "GGA-PBE",
  "state": "relaxed",
  "cell": [[3.879, 0.000, 0.000], [0.000, 3.879, 0.000], [1.940, 1.940, 9.498]],
  "species": ["Pd", "Tl", "Sr", "Pd", "Sr"],
  "fractional_positions": [[0.750, 0.250, 0.500], [0.000, 0.000, 0.000], [0.623, 0.623, 0.753], [0.250, 0.750, 0.500], [0.377, 0.377, 0.247]],
  "final_energy_ev_per_cell": -17.84,
  "e_form_ev_per_atom": -0.34,
  "magnetic_moment_mub_per_fu": 0.0
}